Compound: Tm4Zn2Hg
Source: Alexandria via LeMat-Bulk
Functional: PBE
Structure: relaxed

a b c (Å): 9.549 9.549 9.549
angles (deg): 29.39 29.39 29.39
Fractional coordinates of all 7 atoms:
Tm  0.118  0.118  0.118
Tm  0.298  0.298  0.298
Tm  0.702  0.702  0.702
Tm  0.882  0.882  0.882
Zn  0.402  0.402  0.402
Zn  0.598  0.598  0.598
Hg  0.500  0.500  0.500

Calculated values
Calculated total energy: -3.045 eV/atom
E_form: -0.6 eV per formula unit